First-principles (PBE) data for a geometry-optimized Ca2AgCBr structure, as listed in the Alexandria database.

```
data_Ca2AgCBr
_cell_length_a 5.717
_cell_length_b 5.717
_cell_length_c 5.238
_cell_angle_alpha 90.00
_cell_angle_beta 90.00
_cell_angle_gamma 90.00
_symmetry_space_group_name_H-M 'P 4/m m m'
_symmetry_Int_Tables_number 123
_symmetry_space_group_name_Hall '-P 4 2'
loop_
_atom_site_label
_atom_site_fract_x
_atom_site_fract_y
_atom_site_fract_z
_atom_site_occupancy
Ca1 0.000 0.500 0.000 1
Ag1 0.000 0.000 0.000 1
C1 0.500 0.500 0.500 1
Br1 0.000 0.000 0.500 1
```

Calculated values
Crystal system: tetragonal
DFT total energy (eV per cell): -12.406
E_form (uncorrected) (meV/atom): 1069
Total magnetization (μB/atom): 0.4226

---

First-principles (PBE) data for a geometry-optimized AgCBrCl2 structure, as listed in the Alexandria database.

```
data_AgCBrCl2
_cell_length_a 5.270
_cell_length_b 5.270
_cell_length_c 4.083
_cell_angle_alpha 90.00
_cell_angle_beta 90.00
_cell_angle_gamma 90.00
_symmetry_space_group_name_H-M 'P 4/m m m'
_symmetry_Int_Tables_number 123
_symmetry_space_group_name_Hall '-P 4 2'
loop_
_atom_site_label
_atom_site_fract_x
_atom_site_fract_y
_atom_site_fract_z
_atom_site_occupancy
Ag1 0.000 0.000 0.000 1
C1 0.000 0.000 0.500 1
Br1 0.500 0.500 0.500 1
Cl1 0.000 0.500 0.000 1
```

Calculated values
Crystal system: tetragonal
DFT total energy (eV per cell): -11.054
E_form (uncorrected) (meV/atom): 1277
ΔE to the lowest computed polymorph (meV/atom): 0
Total magnetization (μB/atom): 0.1967

---

First-principles (PBE) data for a geometry-optimized AgCBrCl2 structure, as listed in the Alexandria database.

```
data_AgCBrCl2
_cell_length_a 5.785
_cell_length_b 5.785
_cell_length_c 3.853
_cell_angle_alpha 90.00
_cell_angle_beta 90.00
_cell_angle_gamma 90.00
_symmetry_space_group_name_H-M 'P 4/m m m'
_symmetry_Int_Tables_number 123
_symmetry_space_group_name_Hall '-P 4 2'
loop_
_atom_site_label
_atom_site_fract_x
_atom_site_fract_y
_atom_site_fract_z
_atom_site_occupancy
Ag1 0.000 0.000 0.000 1
C1 0.500 0.500 0.000 1
Br1 0.500 0.500 0.500 1
Cl1 0.000 0.500 0.500 1
```

Calculated values
Crystal system: tetragonal
DFT total energy (eV per cell): -11.013
E_form (uncorrected) (meV/atom): 1286
ΔE to the lowest computed polymorph (meV/atom): 8
Total magnetization (μB/atom): 0.0040

---

First-principles (PBE) data for a geometry-optimized Cs2AgCBr6 structure, as listed in the Alexandria database.

```
data_Cs2AgCBr6
_cell_length_a 7.499
_cell_length_b 7.499
_cell_length_c 10.552
_cell_angle_alpha 90.00
_cell_angle_beta 90.00
_cell_angle_gamma 90.00
_symmetry_space_group_name_H-M 'I 4/m m m'
_symmetry_Int_Tables_number 139
_symmetry_space_group_name_Hall '-I 4 2'
loop_
_atom_site_label
_atom_site_fract_x
_atom_site_fract_y
_atom_site_fract_z
_atom_site_occupancy
Cs1 0.000 0.500 0.250 1
Ag1 0.000 0.000 0.000 1
C1 0.000 0.000 0.500 1
Br1 0.000 0.000 0.264 1
Br2 0.236 0.236 0.500 1
```

Calculated values
Crystal system: tetragonal
DFT total energy (eV per cell): -54.344
E_form (uncorrected) (meV/atom): -335
Total magnetization (μB/atom): 0.0000

---

First-principles (PBE) data for a geometry-optimized AgCBrF2 structure, as listed in the Alexandria database.

```
data_AgCBrF2
_cell_length_a 3.761
_cell_length_b 3.761
_cell_length_c 5.258
_cell_angle_alpha 90.00
_cell_angle_beta 90.00
_cell_angle_gamma 90.00
_symmetry_space_group_name_H-M 'P 4/m m m'
_symmetry_Int_Tables_number 123
_symmetry_space_group_name_Hall '-P 4 2'
loop_
_atom_site_label
_atom_site_fract_x
_atom_site_fract_y
_atom_site_fract_z
_atom_site_occupancy
Ag1 0.000 0.000 0.000 1
C1 0.000 0.000 0.500 1
Br1 0.500 0.500 0.000 1
F1 0.000 0.500 0.500 1
```

Calculated values
Crystal system: tetragonal
DFT total energy (eV per cell): -15.803
E_form (uncorrected) (meV/atom): 337
Total magnetization (μB/atom): 0.0000

---

First-principles (PBE) data for a geometry-optimized Ag2H12C3S3Br2N6 structure, as listed in the Alexandria database.

```
data_Ag2H12C3S3Br2N6
_cell_length_a 4.471
_cell_length_b 8.446
_cell_length_c 21.959
_cell_angle_alpha 90.00
_cell_angle_beta 101.54
_cell_angle_gamma 90.00
_symmetry_space_group_name_H-M 'P 1 2/c 1'
_symmetry_Int_Tables_number 13
loop_
_symmetry_equiv_pos_as_xyz
'x,y,z'
'-x,-y,-z'
'-x,y,-z+1/2'
'x,-y,z+1/2'
loop_
_atom_site_label
_atom_site_fract_x
_atom_site_fract_y
_atom_site_fract_z
_atom_site_occupancy
Ag1 0.023 0.053 0.181 1
H1 0.189 0.386 0.168 1
H2 0.295 0.433 0.705 1
H3 0.320 0.114 0.522 1
H4 0.348 0.379 0.529 1
H5 0.407 0.474 0.910 1
H6 0.475 0.008 0.420 1
C1 0.423 0.231 0.904 1
C2 0.500 0.369 0.250 1
S1 0.176 0.220 0.834 1
S2 0.500 0.162 0.250 1
Br1 0.134 0.258 0.418 1
N1 0.318 0.447 0.204 1
N2 0.457 0.102 0.565 1
N3 0.489 0.373 0.571 1
```

Calculated values
Crystal system: monoclinic
DFT total energy (eV per cell): -294.452
Total magnetization (μB/atom): 0.0000

---

First-principles (PBE) data for a geometry-optimized InAg2CBr structure, as listed in the Alexandria database.

```
data_InAg2CBr
_cell_length_a 4.712
_cell_length_b 4.712
_cell_length_c 4.346
_cell_angle_alpha 90.00
_cell_angle_beta 90.00
_cell_angle_gamma 90.00
_symmetry_space_group_name_H-M 'P 4/m m m'
_symmetry_Int_Tables_number 123
_symmetry_space_group_name_Hall '-P 4 2'
loop_
_atom_site_label
_atom_site_fract_x
_atom_site_fract_y
_atom_site_fract_z
_atom_site_occupancy
In1 0.000 0.000 0.000 1
Ag1 0.000 0.500 0.500 1
C1 0.000 0.000 0.500 1
Br1 0.500 0.500 0.000 1
```

Calculated values
Crystal system: tetragonal
DFT total energy (eV per cell): -16.403
E_form (uncorrected) (meV/atom): 587
Total magnetization (μB/atom): 0.0000

---

First-principles (PBE) data for a geometry-optimized La4AgCBr2 structure, as listed in the Alexandria database.

```
data_La4AgCBr2
_cell_length_a 7.674
_cell_length_b 4.062
_cell_length_c 7.675
_cell_angle_alpha 90.00
_cell_angle_beta 106.59
_cell_angle_gamma 90.00
_symmetry_space_group_name_H-M 'P 1 2/m 1'
_symmetry_Int_Tables_number 10
loop_
_symmetry_equiv_pos_as_xyz
'x,y,z'
'-x,-y,-z'
'-x,y,-z'
'x,-y,z'
loop_
_atom_site_label
_atom_site_fract_x
_atom_site_fract_y
_atom_site_fract_z
_atom_site_occupancy
La1 0.197 0.000 0.193 1
La2 0.214 0.500 0.787 1
Ag1 0.500 0.000 0.000 1
C1 0.000 0.500 0.000 1
Br1 0.000 0.000 0.500 1
Br2 0.500 0.500 0.500 1
```

Calculated values
Crystal system: monoclinic
DFT total energy (eV per cell): -41.099
E_form (uncorrected) (meV/atom): -746
Total magnetization (μB/atom): 0.0002

---

First-principles (PBE) data for a geometry-optimized AgMoC2Br structure, as listed in the Alexandria database.

```
data_AgMoC2Br
_cell_length_a 3.988
_cell_length_b 3.988
_cell_length_c 6.047
_cell_angle_alpha 90.00
_cell_angle_beta 90.00
_cell_angle_gamma 90.00
_symmetry_space_group_name_H-M 'P 4/m m m'
_symmetry_Int_Tables_number 123
_symmetry_space_group_name_Hall '-P 4 2'
loop_
_atom_site_label
_atom_site_fract_x
_atom_site_fract_y
_atom_site_fract_z
_atom_site_occupancy
Ag1 0.000 0.000 0.000 1
Mo1 0.000 0.000 0.500 1
C1 0.000 0.500 0.500 1
Br1 0.500 0.500 0.000 1
```

Calculated values
Crystal system: tetragonal
DFT total energy (eV per cell): -26.481
E_form (uncorrected) (meV/atom): 1464
Total magnetization (μB/atom): 0.0002

---

First-principles (PBE) data for a geometry-optimized Ag2C2BrO6 structure, as listed in the Alexandria database.

```
data_Ag2C2BrO6
_cell_length_a 5.630
_cell_length_b 5.822
_cell_length_c 6.026
_cell_angle_alpha 82.24
_cell_angle_beta 66.16
_cell_angle_gamma 83.69
_symmetry_space_group_name_H-M 'P -1'
_symmetry_Int_Tables_number 2
loop_
_symmetry_equiv_pos_as_xyz
'x,y,z'
'-x,-y,-z'
loop_
_atom_site_label
_atom_site_fract_x
_atom_site_fract_y
_atom_site_fract_z
_atom_site_occupancy
Ag1 0.250 0.239 0.360 1
C1 0.206 0.627 0.689 1
Br1 0.500 0.000 0.000 1
O1 0.073 0.452 0.711 1
O2 0.121 0.834 0.633 1
O3 0.415 0.586 0.727 1
```

Calculated values
Crystal system: triclinic
DFT total energy (eV per cell): -63.033
E_form (uncorrected) (meV/atom): -678
Total magnetization (μB/atom): 0.0000

---

First-principles (PBE) data for a geometry-optimized Rb2AgCBr6 structure, as listed in the Alexandria database.

```
data_Rb2AgCBr6
_cell_length_a 7.398
_cell_length_b 7.398
_cell_length_c 10.420
_cell_angle_alpha 90.00
_cell_angle_beta 90.00
_cell_angle_gamma 90.00
_symmetry_space_group_name_H-M 'I 4/m m m'
_symmetry_Int_Tables_number 139
_symmetry_space_group_name_Hall '-I 4 2'
loop_
_atom_site_label
_atom_site_fract_x
_atom_site_fract_y
_atom_site_fract_z
_atom_site_occupancy
Rb1 0.000 0.500 0.250 1
Ag1 0.000 0.000 0.000 1
C1 0.000 0.000 0.500 1
Br1 0.000 0.000 0.264 1
Br2 0.237 0.237 0.500 1
```

Calculated values
Crystal system: tetragonal
DFT total energy (eV per cell): -54.448
E_form (uncorrected) (meV/atom): -318
Total magnetization (μB/atom): 0.0000

---

First-principles (PBE) data for a geometry-optimized Ag2SbCBr structure, as listed in the Alexandria database.

```
data_Ag2SbCBr
_cell_length_a 5.316
_cell_length_b 5.316
_cell_length_c 5.693
_cell_angle_alpha 90.00
_cell_angle_beta 90.00
_cell_angle_gamma 90.00
_symmetry_space_group_name_H-M 'P 4/m m m'
_symmetry_Int_Tables_number 123
_symmetry_space_group_name_Hall '-P 4 2'
loop_
_atom_site_label
_atom_site_fract_x
_atom_site_fract_y
_atom_site_fract_z
_atom_site_occupancy
Ag1 0.000 0.500 0.000 1
Sb1 0.000 0.000 0.000 1
C1 0.500 0.500 0.500 1
Br1 0.000 0.000 0.500 1
```

Calculated values
Crystal system: tetragonal
DFT total energy (eV per cell): -12.654
E_form (uncorrected) (meV/atom): 1614
Total magnetization (μB/atom): 0.4044